{
  "formula": "LaPmPO",
  "functional": "PBE",
  "state": "optimized geometry",
  "cell": [[4.446, 0.000, 0.000], [0.000, 4.446, 0.000], [0.000, 0.000, 9.187]],
  "species": ["La", "La", "Pm", "Pm", "P", "P", "O", "O"],
  "fractional_positions": [[0.250, 0.250, 0.110], [0.750, 0.750, 0.890], [0.250, 0.750, 0.500], [0.750, 0.250, 0.500], [0.250, 0.250, 0.693], [0.750, 0.750, 0.307], [0.250, 0.750, 0.000], [0.750, 0.250, 0.000]],
  "relative_energy_ev_per_atom": 0.055,
  "dft_energy_ry_per_atom": -0.511
}

{
  "formula": "LaPmPO",
  "functional": "PBE",
  "state": "optimized geometry",
  "cell": [[4.278, 0.000, 0.000], [0.000, 8.018, 0.000], [0.000, 0.000, 5.763]],
  "species": ["La", "La", "Pm", "Pm", "P", "P", "O", "O"],
  "fractional_positions": [[0.000, 0.123, 0.000], [0.000, 0.877, 0.500], [0.500, 0.306, 0.466], [0.500, 0.694, 0.966], [0.500, 0.346, 0.964], [0.500, 0.654, 0.464], [0.000, 0.177, 0.426], [0.000, 0.823, 0.926]],
  "relative_energy_ev_per_atom": 0.021,
  "dft_energy_ry_per_atom": -0.514
}